[1]
First-principles (GGA-PBE) data for LiCu2Ge2 after structural relaxation, as listed in Alexandria.

Values from the calculation:
V   17.64 Å³ per atom
Density of states at the Fermi level   2.1 states/eV/f.u.
ΔE_f   83 meV per atom
VASP energy   -37.86 eV for the cell shown

a = 4.2484 Å, b = 4.2484 Å, c = 9.7758 Å
α = 90.00°, β = 90.00°, γ = 90.00°
Space group I4/mmm (No. 139)
Asymmetric unit:
Li1 0.0000 0.0000 0.0000
Cu1 0.0000 0.0000 0.3770
Ge1 0.0000 0.5000 0.2500

***

[2]
First-principles (GGA-PBE) data for LiCu2Ge2 after structural relaxation, as listed in Alexandria.

Values from the calculation:
V   16.29 Å³ per atom
Density of states at the Fermi level   1.8 states/eV/f.u.
ΔE_f   -52 meV per atom
VASP energy   -39.20 eV for the cell shown

a = 3.8823 Å, b = 3.8823 Å, c = 10.8092 Å
α = 90.00°, β = 90.00°, γ = 90.00°
Space group I4/mmm (No. 139)
Asymmetric unit:
Li1 0.0000 0.0000 0.0000
Cu1 0.0000 0.5000 0.2500
Ge1 0.0000 0.0000 0.3875

***

[3]
First-principles (GGA-PBE) data for Li2Cu2Ge3 after structural relaxation, as listed in Alexandria.

Values from the calculation:
V   16.68 Å³ per atom
Density of states at the Fermi level   2.5 states/eV/f.u.
ΔE_f   -131 meV per atom
VASP energy   -107.15 eV for the cell shown

a = 4.0602 Å, b = 16.6531 Å, c = 6.9079 Å
α = 90.00°, β = 90.00°, γ = 90.00°
Space group Cmcm (No. 63)
Asymmetric unit:
Li1 0.0000 0.0458 0.2500
Li2 0.0000 0.1555 0.7500
Cu1 0.0000 0.3014 0.5606
Ge1 0.0000 0.2270 0.2500
Ge2 0.0000 0.4338 0.0733

***

[4]
First-principles (GGA-PBE) data for LiCu6Ge after structural relaxation, as listed in Alexandria.

Values from the calculation:
V   12.39 Å³ per atom
Density of states at the Fermi level   1.3 states/eV/f.u.
ΔE_f   -29 meV per atom
VASP energy   -62.68 eV for the cell shown

a = 4.2957 Å, b = 5.1497 Å, c = 8.9610 Å
α = 90.00°, β = 90.00°, γ = 90.00°
Space group Amm2 (No. 38)
Asymmetric unit:
Li1 0.0000 0.0000 0.0000
Cu1 0.0000 0.0000 0.4974
Cu2 0.0000 0.2462 0.2513
Cu3 0.5000 0.0000 0.1661
Cu4 0.5000 0.2493 0.4154
Ge1 0.5000 0.0000 0.6657

***

[5]
First-principles (GGA-PBE) data for Li2CuGe2 after structural relaxation, as listed in Alexandria.

Values from the calculation:
V   16.17 Å³ per atom
Density of states at the Fermi level   1.7 states/eV/f.u.
ΔE_f   -198 meV per atom
VASP energy   -72.60 eV for the cell shown

a = 9.3242 Å, b = 4.2537 Å, c = 8.6331 Å
α = 90.00°, β = 109.21°, γ = 90.00°
Space group C2/m (No. 12)
Asymmetric unit:
Li1 0.0439 0.0000 0.3539
Li2 0.1644 0.0000 0.0752
Cu1 0.2320 0.5000 0.3446
Ge1 0.0191 0.5000 0.8611
Ge2 0.1372 0.5000 0.6046

***

[6]
First-principles (GGA-PBE) data for LiCu2Ge2 after structural relaxation, as listed in Alexandria.

Values from the calculation:
V   15.52 Å³ per atom
Density of states at the Fermi level   1.9 states/eV/f.u.
ΔE_f   -21 meV per atom
VASP energy   -38.89 eV for the cell shown

a = 7.3588 Å, b = 7.3588 Å, c = 2.8658 Å
α = 90.00°, β = 90.00°, γ = 90.00°
Space group P4/mbm (No. 127)
Asymmetric unit:
Li1 0.0000 0.0000 0.0000
Cu1 0.1256 0.3744 0.0000
Ge1 0.1718 0.6718 0.5000